# LiMnN2F GGA+U relaxed
data_LiMnN2F
_chemical_formula_sum 'Li1 Mn1 N2 F1'
_symmetry_space_group_name_H-M 'P 4/m m m'
_symmetry_Int_Tables_number 123
_symmetry_space_group_name_Hall '-P 4 2'
_cell_length_a 3.7036
_cell_length_b 3.7036
_cell_length_c 3.5453
_cell_angle_alpha 90.00
_cell_angle_beta 90.00
_cell_angle_gamma 90.00
loop_
_atom_site_label
_atom_site_type_symbol
_atom_site_fract_x
_atom_site_fract_y
_atom_site_fract_z
Li1 Li 0.0000 0.0000 0.0000
Mn1 Mn 0.5000 0.5000 0.5000
N1 N 0.0000 0.5000 0.0000
F1 F 0.0000 0.0000 0.5000
# Uncorrected energy   -22.1 eV per cell
# Relative energy among the computed polymorphs   0.9934 eV per atom
# Fermi-level density of states   2.55 states/eV per cell